TbErPtRh | Alexandria | PBE | optimized geometry; size of the total moment = 0.00 μB per formula unit; distance to the lowest polymorph of the same formula = 0.0 meV per atom; crystal system = orthorhombic; space group = Amm2; energy of formation from the pure elements = -1.070 eV/atom
1.0
-1.880 0.465 -3.235
-3.568 -1.635 1.839
-0.494 4.620 3.149
Tb Er Pt Rh
1 1 1 1
direct
0.143 0.000 0.287
0.862 0.500 0.723
0.585 0.500 0.171
0.410 0.000 0.820



ErTh2PtRh5 | Alexandria | PBE | optimized geometry; size of the total moment = 0.00 μB per formula unit; crystal system = tetragonal; space group = I4/mcm; energy of formation from the pure elements = -0.411 eV/atom
1.0
8.426 0.000 0.000
0.000 8.426 0.000
-4.213 -4.213 5.323
Er Th Pt Rh
2 4 2 10
direct
0.250 0.250 0.500
0.750 0.750 0.500
0.139 0.361 0.000
0.639 0.139 0.000
0.361 0.861 0.000
0.861 0.639 0.000
0.250 0.750 0.500
0.750 0.250 0.500
0.947 0.447 0.271
0.675 0.175 0.729
0.053 0.553 0.729
0.175 0.053 0.729
0.553 0.675 0.729
0.825 0.947 0.271
0.447 0.325 0.271
0.325 0.825 0.271
0.500 0.500 0.000
0.000 0.000 0.000



ErTiPtRh | Alexandria | PBE | optimized geometry; size of the total moment = 0.00 μB per formula unit; crystal system = cubic; space group = F-43m; energy of formation from the pure elements = -0.813 eV/atom
1.0
-0.597 1.985 4.167
1.524 -2.145 3.839
3.663 1.698 2.315
Ti Rh Pt Er
1 1 1 1
direct
0.500 0.500 0.500
0.750 0.750 0.750
0.250 0.250 0.250
0.000 0.000 0.000



ErTlPtRh | Alexandria | PBE | optimized geometry; size of the total moment = 0.00 μB per formula unit; crystal system = cubic; space group = F-43m; energy of formation from the pure elements = -0.614 eV/atom
1.0
4.770 0.000 0.000
2.385 4.131 0.000
2.385 1.377 3.895
Tl Rh Pt Er
1 1 1 1
direct
0.500 0.500 0.500
0.250 0.250 0.250
0.750 0.750 0.750
0.000 0.000 0.000



Er3Zn2PtRh3 | Alexandria | PBE | optimized geometry; size of the total moment = 0.00 μB per formula unit; crystal system = hexagonal; space group = P-62m; energy of formation from the pure elements = -0.603 eV/atom
1.0
3.187 0.000 0.000
0.000 7.766 0.000
0.000 -3.883 6.726
Er Zn Pt Rh
3 2 1 3
direct
0.500 0.712 0.000
0.500 0.000 0.712
0.500 0.288 0.288
0.500 0.667 0.333
0.500 0.333 0.667
0.000 0.000 0.000
0.000 0.601 0.601
0.000 0.000 0.399
0.000 0.399 0.000



Er8Ru3Pt2 | Alexandria | PBE | optimized geometry; size of the total moment = 0.00 μB per formula unit; crystal system = monoclinic; space group = P2/m; energy of formation from the pure elements = -0.669 eV/atom
1.0
4.775 0.000 0.000
0.000 8.295 -4.775
0.000 -0.766 8.283
Er Ru Pt
8 3 2
direct
0.000 0.620 0.239
0.000 0.380 0.761
0.000 0.121 0.243
0.000 0.879 0.757
0.500 0.630 0.760
0.500 0.130 0.760
0.500 0.870 0.240
0.500 0.370 0.240
0.500 0.000 0.000
0.000 0.249 0.000
0.000 0.751 0.000
0.500 0.250 0.500
0.500 0.750 0.500



Er2RuPt | Alexandria | PBE | optimized geometry; size of the total moment = 0.00 μB per formula unit; crystal system = cubic; space group = Fm-3m; energy of formation from the pure elements = -0.846 eV/atom
1.0
-3.681 0.209 3.113
0.208 -2.452 4.150
0.503 2.364 4.176
Ru Pt Er
1 1 2
direct
0.750 0.750 0.750
0.250 0.250 0.250
0.000 0.000 0.000
0.500 0.500 0.500



Er3RuPt | Alexandria | PBE | optimized geometry; size of the total moment = 0.00 μB per formula unit; crystal system = monoclinic; space group = P2_1/c; energy of formation from the pure elements = -0.727 eV/atom
1.0
-7.589 2.049 0.858
-1.906 -7.036 -0.055
-1.752 0.409 8.309
Er Ru Pt
12 4 4
direct
0.399 0.151 0.775
0.601 0.849 0.225
0.101 0.651 0.225
0.899 0.349 0.775
0.525 0.693 0.860
0.475 0.307 0.140
0.975 0.193 0.140
0.025 0.807 0.860
0.786 0.997 0.541
0.214 0.003 0.459
0.714 0.497 0.459
0.286 0.503 0.541
0.456 0.817 0.583
0.544 0.183 0.417
0.044 0.317 0.417
0.956 0.683 0.583
0.703 0.038 0.907
0.297 0.962 0.093
0.797 0.538 0.093
0.203 0.462 0.907



Er2RuPt | Alexandria | PBE | optimized geometry; size of the total moment = 0.00 μB per formula unit; crystal system = tetragonal; space group = P4/mmm; energy of formation from the pure elements = -0.895 eV/atom
1.0
3.445 0.000 0.000
0.000 3.445 0.000
0.000 0.000 6.694
Ru Pt Er
1 1 2
direct
0.500 0.500 0.000
0.500 0.500 0.500
0.000 0.000 0.755
0.000 0.000 0.245



Er8Ru2Pt | Alexandria | PBE | optimized geometry; size of the total moment = 0.00 μB per formula unit; distance to the lowest polymorph of the same formula = 0.0 meV per atom; crystal system = monoclinic; space group = C2/m; energy of formation from the pure elements = -0.452 eV/atom
1.0
-0.698 -1.029 4.661
1.717 -6.497 -1.178
7.582 4.809 -0.299
Er Ru Pt
8 2 1
direct
0.404 0.544 0.807
0.669 0.965 0.339
0.795 0.685 0.590
0.968 0.214 0.935
0.205 0.315 0.410
0.331 0.035 0.661
0.596 0.456 0.193
0.032 0.786 0.065
0.815 0.298 0.629
0.185 0.702 0.371
0.500 0.000 0.000



Er7Ru2Pt2 | Alexandria | PBE | optimized geometry; size of the total moment = 0.00 μB per formula unit; crystal system = monoclinic; space group = C2/m; energy of formation from the pure elements = -0.450 eV/atom
1.0
6.487 0.294 -0.762
0.305 6.894 -0.280
-1.165 -0.298 6.427
Er Ru Pt
7 2 2
direct
0.975 0.276 0.522
0.522 0.724 0.975
0.025 0.724 0.478
0.478 0.276 0.025
0.000 0.000 0.000
0.522 0.730 0.478
0.478 0.270 0.522
0.818 0.500 0.818
0.182 0.500 0.182
0.715 0.000 0.285
0.285 0.000 0.715



Er5RuPt2 | Alexandria | PBE | optimized geometry; size of the total moment = 0.00 μB per formula unit; crystal system = orthorhombic; space group = Pbam; energy of formation from the pure elements = -0.839 eV/atom
1.0
-3.075 -2.301 1.775
-2.144 -2.425 -6.861
7.423 -9.200 0.932
Er Ru Pt
10 2 4
direct
0.000 0.000 0.500
0.000 0.500 0.000
0.000 0.838 0.202
0.000 0.162 0.798
0.000 0.662 0.702
0.000 0.338 0.298
0.500 0.676 0.410
0.500 0.324 0.590
0.500 0.824 0.910
0.500 0.176 0.090
0.000 0.500 0.500
0.000 0.000 0.000
0.500 0.543 0.172
0.500 0.457 0.828
0.500 0.957 0.672
0.500 0.043 0.328



Er4RuPt2 | Alexandria | PBE | optimized geometry; size of the total moment = 0.00 μB per formula unit; crystal system = orthorhombic; space group = Cmmm; energy of formation from the pure elements = -0.895 eV/atom
1.0
4.768 0.000 0.000
0.000 5.628 -1.930
0.000 -0.071 5.949
Er Ru Pt
4 1 2
direct
0.000 0.749 0.749
0.000 0.251 0.251
0.500 0.000 0.500
0.500 0.500 0.000
0.500 0.500 0.500
0.000 0.749 0.251
0.000 0.251 0.749



Er4Ru3Pt | Alexandria | PBE | optimized geometry; size of the total moment = 0.00 μB per formula unit; crystal system = tetragonal; space group = P4/mmm; energy of formation from the pure elements = -0.636 eV/atom
1.0
4.797 0.000 0.000
0.000 6.759 0.000
0.000 0.000 9.595
Ru Pt Er
6 2 8
direct
0.000 0.000 0.000
0.000 0.000 0.500
0.500 0.000 0.750
0.500 0.000 0.250
0.500 0.500 0.750
0.500 0.500 0.250
0.000 0.500 0.000
0.000 0.500 0.500
0.500 0.755 0.000
0.500 0.755 0.500
0.500 0.245 0.000
0.500 0.245 0.500
0.000 0.755 0.750
0.000 0.755 0.250
0.000 0.245 0.250
0.000 0.245 0.750



Er4RuPt3 | Alexandria | PBE | optimized geometry; size of the total moment = 0.00 μB per formula unit; crystal system = tetragonal; space group = P4/mmm; energy of formation from the pure elements = -1.084 eV/atom
1.0
3.419 0.000 0.000
0.000 3.419 0.000
0.000 0.000 13.894
Ru Pt Er
1 3 4
direct
0.500 0.500 0.000
0.500 0.500 0.247
0.500 0.500 0.500
0.500 0.500 0.753
0.000 0.000 0.881
0.000 0.000 0.119
0.000 0.000 0.373
0.000 0.000 0.627



Er6RuPt | Alexandria | PBE | optimized geometry; size of the total moment = 0.00 μB per formula unit; crystal system = monoclinic; space group = C2/m; energy of formation from the pure elements = -0.391 eV/atom
1.0
-2.883 6.055 0.126
-6.389 -0.663 -1.921
-4.666 -1.140 4.211
Er Ru Pt
6 1 1
direct
0.743 0.434 0.652
0.743 0.086 0.348
0.257 0.914 0.652
0.257 0.566 0.348
0.741 0.753 0.000
0.259 0.247 0.000
0.500 0.500 0.000
0.000 0.000 0.000



Er8Ru5Pt | Alexandria | PBE | optimized geometry; size of the total moment = 0.00 μB per formula unit; crystal system = tetragonal; space group = I-4; energy of formation from the pure elements = -0.388 eV/atom
1.0
7.340 0.023 -0.040
-2.462 6.915 0.040
-2.417 -3.485 5.991
Er Ru Pt
8 5 1
direct
0.112 0.750 0.005
0.995 0.107 0.745
0.763 0.252 0.383
0.617 0.380 0.868
0.489 0.620 0.237
0.638 0.893 0.888
0.255 0.250 0.362
0.132 0.748 0.511
0.991 0.374 0.115
0.885 0.876 0.259
0.741 0.626 0.617
0.500 0.000 0.500
0.383 0.124 0.009
0.250 0.500 0.750



Er8Ru2Pt | Alexandria | PBE | optimized geometry; size of the total moment = 0.00 μB per formula unit; distance to the lowest polymorph of the same formula = 46.5 meV per atom; crystal system = monoclinic; space group = Cm; energy of formation from the pure elements = -0.406 eV/atom
1.0
-4.745 2.741 1.964
0.359 -5.703 4.863
5.210 5.238 1.313
Er Ru Pt
8 2 1
direct
0.580 0.344 0.082
0.580 0.082 0.344
0.176 0.365 0.365
0.988 0.218 0.784
0.988 0.784 0.218
0.796 0.636 0.636
0.388 0.928 0.667
0.388 0.667 0.928
0.487 0.695 0.317
0.487 0.317 0.695
0.142 0.998 0.998



ErRuPt | Alexandria | PBE | optimized geometry; size of the total moment = 0.00 μB per formula unit; crystal system = monoclinic; space group = C2/m; energy of formation from the pure elements = -0.441 eV/atom
1.0
5.590 -0.213 -0.796
-2.618 4.944 0.796
-3.320 -1.213 4.425
Er Pt Ru
2 2 2
direct
0.250 0.627 0.877
0.750 0.373 0.123
0.000 0.000 0.500
0.500 0.500 0.500
0.251 0.945 0.196
0.749 0.055 0.804



ErSi2RuPt | Alexandria | PBE | optimized geometry; size of the total moment = 0.00 μB per formula unit; formation energy without anion corrections = -1.018 eV per atom; crystal system = tetragonal; space group = I-4m2
1.0
-1.190 -2.353 -3.108
-2.602 -1.940 2.465
-1.659 5.457 -0.825
Er Si Ru Pt
1 2 1 1
direct
0.000 0.000 0.000
0.620 0.620 0.239
0.380 0.380 0.761
0.750 0.250 0.500
0.250 0.750 0.500



ErSi2RuPt4 | Alexandria | PBE | optimized geometry; size of the total moment = 1.01 μB per formula unit; formation energy without anion corrections = -0.504 eV per atom; crystal system = tetragonal; space group = P4/mmm
1.0
-0.367 0.342 -3.859
0.458 -3.845 -0.385
-9.276 -1.183 0.778
Er Si Ru Pt
1 2 1 4
direct
0.000 0.000 0.000
0.500 0.500 0.378
0.500 0.500 0.622
0.000 0.000 0.500
0.000 0.500 0.234
0.500 0.000 0.766
0.500 0.000 0.234
0.000 0.500 0.766



SmErRuPt | Alexandria | PBE | optimized geometry; size of the total moment = 0.00 μB per formula unit; distance to the lowest polymorph of the same formula = 50.8 meV per atom; crystal system = cubic; space group = F-43m; energy of formation from the pure elements = -0.729 eV/atom
1.0
4.902 0.000 0.000
2.451 4.245 0.000
2.451 1.415 4.003
Ru Sm Pt Er
1 1 1 1
direct
0.250 0.250 0.250
0.500 0.500 0.500
0.750 0.750 0.750
0.000 0.000 0.000



SmErRuPt | Alexandria | PBE | optimized geometry; size of the total moment = 0.00 μB per formula unit; distance to the lowest polymorph of the same formula = 0.0 meV per atom; crystal system = tetragonal; space group = P4mm; energy of formation from the pure elements = -0.780 eV/atom
1.0
3.478 0.000 0.000
0.000 3.478 0.000
0.000 0.000 6.890
Sm Er Ru Pt
1 1 1 1
direct
0.500 0.500 0.114
0.500 0.500 0.603
0.000 0.000 0.367
0.000 0.000 0.844